Entry from the Alexandria database: a geometry-optimized Ga2AsS structure (PBE).

Results
Distance to the lowest polymorph of the same formula (eV/f.u.): 0.000
E_form (uncorrected) (eV/f.u.): -0.999
Space-group type: I-42d (122)

a b c (Å): 7.175 7.175 7.175
angles (deg): 132.31 132.31 69.73
Fractional coordinates of all 8 atoms:
Ga 0.123 0.625 0.998
Ga 0.375 0.373 0.498
Ga 0.627 0.125 0.002
Ga 0.875 0.877 0.502
As 0.250 0.750 0.500
As 0.500 0.500 0.000
S 0.000 0.000 0.000
S 0.750 0.250 0.500